Entry 1:
First-principles (GGA-PBE) data for crystalline AgHg3F7 at its relaxed geometry, as listed in the Alexandria database.

Values from the calculation:
- V (Å³ per cell) = 365.47
- uncorrected formation energy (eV/atom) = -1.317
- density of states at the Fermi level (states/eV/cell) = 8.22

a = 7.871 Å, b = 8.314 Å, c = 6.610 Å
α = 90.00°, β = 122.34°, γ = 90.00°
Space group C2/m (No. 12)
Asymmetric unit:
Ag 0.000 0.000 0.000 x2
Hg 0.000 0.270 0.500 x4
Hg 0.000 0.500 0.000 x2
F 0.000 0.000 0.500 x2
F 0.135 0.276 0.248 x8
F 0.149 0.500 0.762 x4

---

Entry 2:
First-principles (GGA-PBE) data for crystalline NaSn6Hg2 at its relaxed geometry, as listed in the Alexandria database.

Values from the calculation:
- V (Å³ per cell) = 258.53
- formation energy (eV/atom) = 0.006
- density of states at the Fermi level (states/eV/cell) = 4.35

a = 4.489 Å, b = 4.489 Å, c = 12.832 Å
α = 90.00°, β = 90.00°, γ = 90.00°
Space group P4/mmm (No. 123)
Asymmetric unit:
Na 0.000 0.000 0.000 x1
Sn 0.000 0.000 0.500 x1
Sn 0.000 0.500 0.290 x4
Sn 0.500 0.500 0.500 x1
Hg 0.500 0.500 0.112 x2

---

Entry 3:
First-principles (GGA-PBE) data for crystalline Nd3Er2Bi3 at its relaxed geometry, as listed in the Alexandria database.

Values from the calculation:
- V (Å³ per cell) = 1030.49
- formation energy (eV/atom) = -0.596
- density of states at the Fermi level (states/eV/cell) = 39.81

a = 4.488 Å, b = 14.322 Å, c = 16.032 Å
α = 90.00°, β = 90.00°, γ = 90.00°
Space group Cmcm (No. 63)
Asymmetric unit:
Nd 0.000 0.047 0.117 x8
Nd 0.000 0.340 0.250 x4
Er 0.000 0.238 0.593 x8
Bi 0.000 0.368 0.750 x4
Bi 0.000 0.395 0.041 x8

---

Entry 4:
First-principles (GGA-PBE) data for crystalline NaLiGdAu at its relaxed geometry, as listed in the Alexandria database.

Values from the calculation:
- V (Å³ per cell) = 366.13
- formation energy (eV/atom) = -0.230
- density of states at the Fermi level (states/eV/cell) = 19.65

a = 7.154 Å, b = 7.154 Å, c = 7.154 Å
α = 90.00°, β = 90.00°, γ = 90.00°
Space group F-43m (No. 216)
Asymmetric unit:
Na 0.000 0.000 0.000 x4
Li 0.250 0.250 0.750 x4
Gd 0.000 0.000 0.500 x4
Au 0.250 0.250 0.250 x4

---

Entry 5:
First-principles (GGA-PBE) data for crystalline TaNb4Te8 at its relaxed geometry, as listed in the Alexandria database.

Values from the calculation:
- V (Å³ per cell) = 1006.86
- uncorrected formation energy (eV/atom) = -0.183
- density of states at the Fermi level (states/eV/cell) = 21.99

a = 7.5884 Å, b = 7.5884 Å, c = 20.1901 Å
α = 90.00°, β = 90.00°, γ = 120.00°
Space group R-3m (No. 166, hexagonal axes)
Asymmetric unit:
Ta 0.0000 0.0000 0.0000 x3
Nb 0.0000 0.0000 0.5000 x3
Nb 0.0000 0.5000 0.5000 x9
Te 0.0000 0.0000 0.2557 x6
Te 0.0128 0.5064 0.2564 x18

---

Entry 6:
First-principles (GGA-PBE) data for crystalline SmSiGe2Ru2 at its relaxed geometry, as listed in the Alexandria database.

Values from the calculation:
- V (Å³ per cell) = 111.11
- uncorrected formation energy (eV/atom) = -0.276
- density of states at the Fermi level (states/eV/cell) = 5.96

a = 4.457 Å, b = 4.457 Å, c = 5.595 Å
α = 90.00°, β = 90.00°, γ = 90.00°
Space group P4/mmm (No. 123)
Asymmetric unit:
Sm 0.000 0.000 0.000 x1
Si 0.000 0.000 0.500 x1
Ge 0.500 0.500 0.225 x2
Ru 0.000 0.500 0.500 x2